Entry 1:
K3Tm3GeO8: optimized geometry, PBE.

It has space group R-3m (No. 166, hexagonal axes), with a = 6.6193 Å, b = 6.6193 Å, c = 18.8803 Å, α = 90.00°, β = 90.00° and γ = 120.00°. Symmetry generates all atoms from K at (0.0000, 0.5000, 0.0000), Tm at (0.0000, 0.5000, 0.5000), Ge at (0.0000, 0.0000, 0.5000), O at (0.0000, 0.0000, 0.2261) and O at (0.0354, 0.5177, 0.2230).

The total energy comes out at -99.5 eV/f.u. As for the volume: 238.81 Å³/f.u.

=====

Entry 2:
K2TmGe2O6: optimized geometry, PBE.

It has space group C2/m (No. 12), with a = 10.273 Å, b = 6.017 Å, c = 6.878 Å, α = 90.00°, β = 121.14° and γ = 90.00°. Symmetry generates all atoms from K at (0.206, 0.000, 0.168), Tm at (0.000, 0.000, 0.500), Ge at (0.053, 0.500, 0.221), O at (0.030, 0.256, 0.755) and O at (0.249, 0.000, 0.643).

The total energy comes out at -68.2 eV/f.u. As for the volume: 181.95 Å³/f.u.

=====

Entry 3:
K4Tm3GeO8: optimized geometry, PBE.

It has space group R-3m (No. 166, hexagonal axes), with a = 6.7673 Å, b = 6.7673 Å, c = 18.6817 Å, α = 90.00°, β = 90.00° and γ = 120.00°. Symmetry generates all atoms from K at (0.0000, 0.0000, 0.0000), K at (0.0000, 0.5000, 0.0000), Tm at (0.0000, 0.5000, 0.5000), Ge at (0.0000, 0.0000, 0.5000), O at (0.0000, 0.0000, 0.2278) and O at (0.0061, 0.5030, 0.2275).

The total energy comes out at -100.5 eV/f.u. As for the volume: 246.98 Å³/f.u.

=====

Entry 4:
K3UGe2O8: optimized geometry, PBE.

It has space group P-3m1 (No. 164), with a = 5.9082 Å, b = 5.9082 Å, c = 7.8165 Å, α = 90.00°, β = 90.00° and γ = 120.00°. Symmetry generates all atoms from K at (0.0000, 0.0000, 0.0000), K at (0.3333, 0.6667, 0.7085), U at (0.0000, 0.0000, 0.5000), Ge at (0.3333, 0.6667, 0.2440), O at (0.1719, 0.3439, 0.3410) and O at (0.3333, 0.6667, 0.0280).

The total energy comes out at -93.4 eV/f.u. As for the volume: 236.29 Å³/f.u.

=====

Entry 5:
KU2GeO8: optimized geometry, PBE.

It has space group C2/m (No. 12), with a = 7.281 Å, b = 6.735 Å, c = 7.039 Å, α = 90.00°, β = 92.30° and γ = 90.00°. Symmetry generates all atoms from K at (0.000, 0.000, 0.000), U at (0.010, 0.500, 0.258), Ge at (0.000, 0.000, 0.500), O at (0.007, 0.196, 0.691), O at (0.163, 0.500, 0.973) and O at (0.194, 0.500, 0.493).

The total energy comes out at -97.7 eV/f.u. As for the volume: 172.45 Å³/f.u.

=====

Entry 6:
K2UGeO6: optimized geometry, PBE.

It has space group Fm-3m (No. 225), with a = 8.111 Å, b = 8.111 Å, c = 8.111 Å, α = 90.00°, β = 90.00° and γ = 90.00°. Symmetry generates all atoms from K at (0.250, 0.250, 0.250), U at (0.000, 0.000, 0.000), Ge at (0.000, 0.000, 0.500) and O at (0.000, 0.000, 0.259).

The total energy comes out at -70.9 eV/f.u. As for the volume: 133.41 Å³/f.u.

=====

Entry 7:
KUGeO6: optimized geometry, PBE.

It has space group P-31c (No. 163), with a = 5.3558 Å, b = 5.3558 Å, c = 12.0684 Å, α = 90.00°, β = 90.00° and γ = 120.00°. Symmetry generates all atoms from K at (0.0000, 0.0000, 0.0000), U at (0.3333, 0.6667, 0.2500), Ge at (0.3333, 0.6667, 0.7500) and O at (0.0216, 0.3862, 0.6600).

The total energy comes out at -65.3 eV/f.u. As for the volume: 149.90 Å³/f.u.

=====

What is the formula in the sixth record? K2UGeO6